A relaxed Tl2SiSnSe4 crystal. Source: Alexandria, functional GGA-PBE.

Unit cell a=8.4470 b=8.4470 c=8.9568 alpha=122.02 beta=122.02 gamma=90.56
Last column: nearest neighbours and their distance in Å.
Atoms (fractional coordinates):
Tl1 0.5000 0.0000 0.0000  6 Se 3.05-3.11
Tl2 0.5000 0.0000 0.5000  6 Se 3.05-3.11
Tl3 0.0000 0.0000 0.5000  6 Se 3.31-3.35
Tl4 0.5000 0.5000 0.0000  6 Se 3.31-3.35
Si1 0.5000 0.5000 0.5000  6 Se 2.63-2.69
Si2 0.0000 0.0000 0.0000  6 Se 2.63-2.69
Sn1 0.0000 0.5000 0.0000  6 Se 2.93-2.96
Sn2 0.0000 0.5000 0.5000  6 Se 2.93-2.96
Se1 0.2130 0.7648 0.9889  1 Si 2.69, 2 Sn 2.93
Se2 0.7352 0.2870 0.5111  1 Si 2.69, 2 Sn 2.93
Se3 0.2648 0.7130 0.4889  1 Si 2.69, 2 Sn 2.93
Se4 0.7870 0.2352 0.0111  1 Si 2.69, 2 Sn 2.93
Se5 0.7563 0.7437 0.9468  2 Si 2.63
Se6 0.7563 0.7437 0.5532  2 Si 2.63
Se7 0.2437 0.2563 0.4468  2 Si 2.63
Se8 0.2437 0.2563 0.0532  2 Si 2.63

Summary:
The value obtained for the volume is 420.1 Å³/cell. The uncorrected formation energy comes out at -245 meV/atom. For the total energy, the calculation gives -30.1 eV/f.u.